1.
Computed, not measured: a geometry-optimized LaTb2Ni6 structure at the PBE-GGA level of DFT.

```
data_LaTb2Ni6
_space_group_name_H-M_alt 'P 1'
_space_group_IT_number 1
_space_group_name_Hall 'P 1'
_cell_length_a 3.801
_cell_length_b 7.011
_cell_length_c 7.011
_cell_angle_alpha 120.00
_cell_angle_beta 90.00
_cell_angle_gamma 90.00
loop_
_atom_site_label
_atom_site_type_symbol
_atom_site_fract_x
_atom_site_fract_y
_atom_site_fract_z
Ni1 Ni 0.500 0.664 0.664
Ni2 Ni 0.500 0.336 0.000
Ni3 Ni 0.500 0.664 0.000
Ni4 Ni 0.500 0.000 0.336
Tb1 Tb 0.000 0.333 0.667
Ni5 Ni 0.500 0.000 0.664
Ni6 Ni 0.500 0.336 0.336
La1 La 0.000 0.000 0.000
Tb2 Tb 0.000 0.667 0.333
```



2.
# LaTb2Ni (PBE-GGA, relaxed)
# * relative energy among the computed polymorphs: 0 meV per atom
data_LaTb2Ni
_space_group_name_H-M_alt 'P 1'
_space_group_IT_number 1
_space_group_name_Hall 'P 1'
_cell_length_a 6.502
_cell_length_b 6.973
_cell_length_c 9.741
_cell_angle_alpha 90.00
_cell_angle_beta 90.00
_cell_angle_gamma 90.00
loop_
_atom_site_label
_atom_site_type_symbol
_atom_site_fract_x
_atom_site_fract_y
_atom_site_fract_z
Tb1 Tb 0.674 0.827 0.932
Tb2 Tb 0.826 0.327 0.568
Tb3 Tb 0.174 0.673 0.432
Tb4 Tb 0.326 0.173 0.432
Tb5 Tb 0.674 0.827 0.568
Ni1 Ni 0.068 0.383 0.250
Ni2 Ni 0.568 0.117 0.750
La1 La 0.859 0.036 0.250
La2 La 0.141 0.964 0.750
Ni3 Ni 0.932 0.617 0.750
La3 La 0.359 0.464 0.750
Tb6 Tb 0.326 0.173 0.068
Ni4 Ni 0.432 0.883 0.250
Tb7 Tb 0.174 0.673 0.068
La4 La 0.641 0.536 0.250
Tb8 Tb 0.826 0.327 0.932



3.
# LaTb2Ni (PBE-GGA, relaxed)
# * relative energy among the computed polymorphs: 51 meV per atom
data_LaTb2Ni
_space_group_name_H-M_alt 'P 1'
_space_group_IT_number 1
_space_group_name_Hall 'P 1'
_cell_length_a 3.474
_cell_length_b 3.474
_cell_length_c 8.980
_cell_angle_alpha 90.00
_cell_angle_beta 90.00
_cell_angle_gamma 90.00
loop_
_atom_site_label
_atom_site_type_symbol
_atom_site_fract_x
_atom_site_fract_y
_atom_site_fract_z
La1 La 0.500 0.500 0.500
Tb1 Tb 0.000 0.000 0.822
Ni1 Ni 0.500 0.500 0.000
Tb2 Tb 0.000 0.000 0.178



4.
# LaTbNi2 (PBE-GGA, relaxed)
# * relative energy among the computed polymorphs: 95 meV per atom
data_LaTbNi2
_space_group_name_H-M_alt 'P 1'
_space_group_IT_number 1
_space_group_name_Hall 'P 1'
_cell_length_a 4.911
_cell_length_b 4.911
_cell_length_c 4.911
_cell_angle_alpha 60.00
_cell_angle_beta 60.00
_cell_angle_gamma 60.00
loop_
_atom_site_label
_atom_site_type_symbol
_atom_site_fract_x
_atom_site_fract_y
_atom_site_fract_z
Tb1 Tb 0.500 0.500 0.500
Ni1 Ni 0.250 0.250 0.250
La1 La 0.000 0.000 0.000
Ni2 Ni 0.750 0.750 0.750



5.
Computed, not measured: a geometry-optimized LaTbZnNi structure at the PBE-GGA level of DFT.

```
data_LaTbZnNi
_space_group_name_H-M_alt 'P 1'
_space_group_IT_number 1
_space_group_name_Hall 'P 1'
_cell_length_a 5.062
_cell_length_b 5.062
_cell_length_c 5.062
_cell_angle_alpha 60.00
_cell_angle_beta 60.00
_cell_angle_gamma 60.00
loop_
_atom_site_label
_atom_site_type_symbol
_atom_site_fract_x
_atom_site_fract_y
_atom_site_fract_z
Zn1 Zn 0.250 0.250 0.250
Ni1 Ni 0.750 0.750 0.750
La1 La 0.000 0.000 0.000
Tb1 Tb 0.500 0.500 0.500
```



6.
# LaTcNi2 (PBE-GGA, relaxed)
# * relative energy among the computed polymorphs: 380 meV per atom
data_LaTcNi2
_space_group_name_H-M_alt 'P 1'
_space_group_IT_number 1
_space_group_name_Hall 'P 1'
_cell_length_a 4.806
_cell_length_b 4.806
_cell_length_c 4.806
_cell_angle_alpha 128.36
_cell_angle_beta 128.36
_cell_angle_gamma 76.04
loop_
_atom_site_label
_atom_site_type_symbol
_atom_site_fract_x
_atom_site_fract_y
_atom_site_fract_z
Ni1 Ni 0.000 0.000 0.000
Ni2 Ni 0.500 0.500 0.000
La1 La 0.750 0.250 0.500
Tc1 Tc 0.250 0.750 0.500



7.
# LaTcNi2 (PBE-GGA, relaxed)
# * relative energy among the computed polymorphs: 317 meV per atom
data_LaTcNi2
_space_group_name_H-M_alt 'P 1'
_space_group_IT_number 1
_space_group_name_Hall 'P 1'
_cell_length_a 6.406
_cell_length_b 4.771
_cell_length_c 2.928
_cell_angle_alpha 89.93
_cell_angle_beta 62.91
_cell_angle_gamma 122.12
loop_
_atom_site_label
_atom_site_type_symbol
_atom_site_fract_x
_atom_site_fract_y
_atom_site_fract_z
Ni1 Ni 0.000 0.000 0.000
Tc1 Tc 0.000 0.500 0.500
Ni2 Ni 0.500 0.000 0.500
La1 La 0.500 0.500 0.000



8.
# LaTcNi2 (PBE-GGA, relaxed)
# * relative energy among the computed polymorphs: 395 meV per atom
data_LaTcNi2
_space_group_name_H-M_alt 'P 1'
_space_group_IT_number 1
_space_group_name_Hall 'P 1'
_cell_length_a 4.595
_cell_length_b 4.595
_cell_length_c 4.595
_cell_angle_alpha 60.00
_cell_angle_beta 60.00
_cell_angle_gamma 60.00
loop_
_atom_site_label
_atom_site_type_symbol
_atom_site_fract_x
_atom_site_fract_y
_atom_site_fract_z
Ni1 Ni 0.250 0.250 0.250
Ni2 Ni 0.750 0.750 0.750
La1 La 0.500 0.500 0.500
Tc1 Tc 0.000 0.000 0.000



9.
Computed, not measured: a geometry-optimized La8TcNi2 structure at the PBE-GGA level of DFT.

```
data_La8TcNi2
_space_group_name_H-M_alt 'P 1'
_space_group_IT_number 1
_space_group_name_Hall 'P 1'
_cell_length_a 6.713
_cell_length_b 7.577
_cell_length_c 7.577
_cell_angle_alpha 107.94
_cell_angle_beta 102.44
_cell_angle_gamma 102.44
loop_
_atom_site_label
_atom_site_type_symbol
_atom_site_fract_x
_atom_site_fract_y
_atom_site_fract_z
Ni1 Ni 0.494 0.322 0.690
Tc1 Tc 0.183 0.001 0.001
La1 La 0.788 0.636 0.636
La2 La 0.597 0.074 0.356
La3 La 0.343 0.927 0.652
La4 La 0.343 0.652 0.927
La5 La 0.597 0.356 0.074
La6 La 0.979 0.179 0.827
La7 La 0.204 0.371 0.371
La8 La 0.979 0.827 0.179
Ni2 Ni 0.494 0.690 0.322
```



10.
# LaTcNi3 (PBE-GGA, relaxed)
# * relative energy among the computed polymorphs: 0 meV per atom
data_LaTcNi3
_space_group_name_H-M_alt 'P 1'
_space_group_IT_number 1
_space_group_name_Hall 'P 1'
_cell_length_a 4.575
_cell_length_b 4.575
_cell_length_c 4.575
_cell_angle_alpha 90.00
_cell_angle_beta 90.00
_cell_angle_gamma 90.00
loop_
_atom_site_label
_atom_site_type_symbol
_atom_site_fract_x
_atom_site_fract_y
_atom_site_fract_z
Ni1 Ni 0.500 0.000 0.000
Ni2 Ni 0.000 0.500 0.000
Tc1 Tc 0.000 0.000 0.000
Ni3 Ni 0.000 0.000 0.500
La1 La 0.500 0.500 0.500



11.
Computed, not measured: a geometry-optimized LaTcNi4 structure at the PBE-GGA level of DFT.

```
data_LaTcNi4
_space_group_name_H-M_alt 'P 1'
_space_group_IT_number 1
_space_group_name_Hall 'P 1'
_cell_length_a 4.990
_cell_length_b 4.990
_cell_length_c 4.990
_cell_angle_alpha 60.00
_cell_angle_beta 60.00
_cell_angle_gamma 60.00
loop_
_atom_site_label
_atom_site_type_symbol
_atom_site_fract_x
_atom_site_fract_y
_atom_site_fract_z
Tc1 Tc 0.750 0.750 0.750
Ni1 Ni 0.872 0.376 0.376
Ni2 Ni 0.376 0.376 0.872
Ni3 Ni 0.376 0.872 0.376
La1 La 0.000 0.000 0.000
Ni4 Ni 0.376 0.376 0.376
```



12.
# LaTcNi2 (PBE-GGA, relaxed)
# * relative energy among the computed polymorphs: 319 meV per atom
data_LaTcNi2
_space_group_name_H-M_alt 'P 1'
_space_group_IT_number 1
_space_group_name_Hall 'P 1'
_cell_length_a 3.054
_cell_length_b 3.054
_cell_length_c 7.074
_cell_angle_alpha 90.00
_cell_angle_beta 90.00
_cell_angle_gamma 90.00
loop_
_atom_site_label
_atom_site_type_symbol
_atom_site_fract_x
_atom_site_fract_y
_atom_site_fract_z
Ni1 Ni 0.500 0.500 0.240
Tc1 Tc 0.000 0.000 0.425
La1 La 0.500 0.500 0.769
Ni2 Ni 0.000 0.000 0.065



| no. | calculated volume (Å³/atom) | ΔH_f (0 K) (eV per atom) |
| --- | --- | --- |
| 1 | 17.978 | -0.3587 |
| 2 | 27.602 | -0.2176 |
| 3 | 27.098 | -0.1669 |
| 4 | 20.939 | -0.2815 |
| 5 | 22.935 | -0.2682 |
| 6 | 16.591 | 0.2817 |
| 7 | 15.969 | 0.2190 |
| 8 | 17.147 | 0.2965 |
| 9 | 31.016 | -0.0592 |
| 10 | 19.153 | 0.3681 |
| 11 | 14.643 | 0.0568 |
| 12 | 16.493 | 0.2208 |